MoRh7 | PBEsol | optimized geometry

M_tot ... 0.00 μB/cell
Formation energy from the elements ... -0.10 eV/atom
Density ... 12.4 g cm⁻³
Crystal system ... cubic

a b c (Å): 7.5805 7.5805 7.5805
angles (deg): 90.00 90.00 90.00
Space group Fm-3m (No. 225)
Inequivalent atoms, fractional coordinates:
Mo1 0.0000 0.0000 0.0000 x4
Rh1 0.0000 0.0000 0.5000 x4
Rh2 0.0000 0.2500 0.2500 x24